No. 1
The following is a DFT calculation (PBE-GGA) of a relaxed structure of AlCuSe2.

Unit cell a=4.6732 b=4.6732 c=4.6732 alpha=60.00 beta=60.00 gamma=60.00
Last column: nearest neighbours and their distance in Å.
Atoms (fractional coordinates):
Se (0.2500, 0.2500, 0.2500)  4 Al 2.86, 4 Se 2.86
Al (0.5000, 0.5000, 0.5000)  4 Se 2.86, 4 Cu 2.86
Se (0.0000, 0.0000, 0.0000)  4 Se 2.86, 4 Cu 2.86
Cu (0.7500, 0.7500, 0.7500)  4 Se 2.86, 4 Al 2.86

Values from the calculation:
* formation energy without anion corrections: 0.35 eV/atom
* total magnetization: 0.00 Bohr magnetons per cell
* DFT total energy: -3.3549 eV/atom
* calculated density: 5717 kg/m³
* space group: F-43m, No. 216

=====

No. 2
The following is a DFT calculation (PBE-GGA) of a relaxed structure of NiAg3Os.

Unit cell a=5.0624 b=5.0624 c=5.0624 alpha=90.00 beta=90.00 gamma=90.00
Last column: nearest neighbours and their distance in Å.
Atoms (fractional coordinates):
Ag (0.5000, 0.0000, 0.0000)  2 Os 2.53
Ag (0.0000, 0.5000, 0.0000)  2 Os 2.53
Ag (0.0000, 0.0000, 0.5000)  2 Os 2.53
Os (0.0000, 0.0000, 0.0000)  6 Ag 2.53
Ni (0.5000, 0.5000, 0.5000)  12 Ag 3.58

Values from the calculation:
* energy above the lowest structure with this stoichiometry: 0.261 eV/atom
* total magnetization: 3.04 Bohr magnetons per cell
* DFT total energy: -3.1822 eV/atom
* calculated density: 7328 kg/m³
* space group: Pm-3m, No. 221